Computed, not measured: a PBEsol-optimized structure of FeWAu at the meta-GGA SCAN level of DFT.

Calculated values
energy relative to the lowest polymorph listed for this composition	0	meV per atom
magnetization	2.63	μB per formula unit
formation energy from the elements	0.7	eV/f.u.

a b c (Å): 3.215 4.274 12.847
angles (deg): 90.00 90.00 90.00
Sites, in units of the cell vectors:
Fe: 0.000 0.000 0.000
Fe: 0.000 0.500 0.500
Fe: 0.500 0.000 0.500
Fe: 0.500 0.500 0.000
W: 0.000 0.000 0.651
W: 0.000 0.500 0.151
W: 0.500 0.000 0.151
W: 0.500 0.500 0.651
Au: 0.000 0.000 0.333
Au: 0.000 0.500 0.833
Au: 0.500 0.000 0.833
Au: 0.500 0.500 0.333

Computed, not measured: a PBEsol-optimized structure of CoGeB3 at the meta-GGA SCAN level of DFT.

Calculated values
magnetization	0.00	μB per formula unit
formation energy from the elements	5.3	eV/f.u.

a b c (Å): 3.798 3.798 3.798
angles (deg): 90.00 90.00 90.00
Sites, in units of the cell vectors:
Co: 0.000 0.000 0.000
Ge: 0.500 0.500 0.500
B: 0.000 0.000 0.500
B: 0.000 0.500 0.000
B: 0.500 0.000 0.000

Computed, not measured: a PBEsol-optimized structure of CaAgAs2 at the meta-GGA SCAN level of DFT.

Calculated values
magnetization	0.00	μB per formula unit
formation energy from the elements	-1.6	eV/f.u.

a b c (Å): 4.432 4.432 4.001
angles (deg): 90.00 90.00 90.00
Sites, in units of the cell vectors:
Ca: 0.000 0.000 0.000
Ag: 0.500 0.500 0.000
As: 0.000 0.500 0.500
As: 0.500 0.000 0.500